1.
## LiDy4Te5 (PBE-GGA)

Data for a geometry-optimized LiDy4Te5 structure.

## Properties
The calculation puts the uncorrected formation energy at -1.302 eV/atom. As for the volume: 28.72 Å³ per atom. The energy relative to the lowest polymorph listed for this composition is 0 meV per atom.

Unit cell a=6.1273 b=7.5010 c=7.5010 alpha=80.40 beta=65.89 gamma=65.89
Sites, in units of the cell vectors:
Dy 0.4033 0.3998 0.7944
Dy 0.1977 0.2056 0.3998
Dy 0.8032 0.7944 0.6002
Dy 0.5975 0.6002 0.2056
Te 0.9035 0.3865 0.8073
Te 0.5016 0.0000 0.0000
Te 0.2901 0.8073 0.6135
Te 0.0974 0.6135 0.1927
Te 0.7109 0.1927 0.3865
Li 0.0051 0.0000 0.0000

***

2.
## LiDy4Te5 (PBE-GGA)

Data for a geometry-optimized LiDy4Te5 structure.

## Properties
The calculation puts the uncorrected formation energy at -1.277 eV/atom. As for the volume: 29.06 Å³ per atom. The energy relative to the lowest polymorph listed for this composition is 25 meV per atom.

Unit cell a=4.3414 b=4.3414 c=15.7213 alpha=97.94 beta=97.94 gamma=90.00
Sites, in units of the cell vectors:
Te 0.6969 0.6969 0.3938
Te 0.5000 0.5000 0.0000
Te 0.8991 0.8991 0.7983
Te 0.1009 0.1009 0.2017
Te 0.3031 0.3031 0.6062
Dy 0.7961 0.7961 0.5922
Dy 0.5966 0.5966 0.1932
Dy 0.2039 0.2039 0.4078
Dy 0.4034 0.4034 0.8068
Li 0.0000 0.0000 0.0000

***

3.
## LiDyTe2 (PBE-GGA)

Data for a geometry-optimized LiDyTe2 structure.

## Properties
The calculation puts the uncorrected formation energy at -1.211 eV/atom. As for the volume: 28.61 Å³ per atom.

Unit cell a=4.2287 b=4.2287 c=7.7818 alpha=74.23 beta=74.23 gamma=60.00
Sites, in units of the cell vectors:
Li 0.6683 0.6683 0.9952
Te 0.2529 0.2529 0.2413
Te 0.0793 0.0793 0.7621
Dy 0.4995 0.4995 0.5015

***

4.
## Li3DyTe3 (PBE-GGA)

Data for a geometry-optimized Li3DyTe3 structure.

## Properties
The calculation puts the uncorrected formation energy at -1.162 eV/atom. As for the volume: 27.95 Å³ per atom.

Unit cell a=7.9103 b=7.9103 c=8.5435 alpha=62.42 beta=62.42 gamma=60.00
Sites, in units of the cell vectors:
Li 0.8723 0.5720 0.3629
Li 0.5720 0.1928 0.3629
Li 0.1277 0.4280 0.6371
Li 0.8072 0.1277 0.6371
Li 0.4280 0.8072 0.6371
Li 0.1928 0.8723 0.3629
Te 0.2727 0.5609 0.2438
Te 0.0774 0.7273 0.7562
Te 0.7273 0.4391 0.7562
Te 0.4391 0.0774 0.7562
Te 0.9226 0.2727 0.2438
Te 0.5609 0.9226 0.2438
Dy 0.6657 0.6657 0.0030
Dy 0.3343 0.3343 0.9970

***

5.
## LiDy3Te3 (PBE-GGA)

Data for a geometry-optimized LiDy3Te3 structure.

## Properties
The calculation puts the uncorrected formation energy at -1.077 eV/atom. As for the volume: 26.45 Å³ per atom.

Unit cell a=4.3608 b=12.2418 c=13.8727 alpha=90.00 beta=90.00 gamma=90.00
Sites, in units of the cell vectors:
Dy 0.7500 0.4489 0.8875
Dy 0.7500 0.6392 0.4937
Dy 0.7500 0.7207 0.7737
Dy 0.2500 0.5511 0.1125
Dy 0.2500 0.3608 0.5063
Dy 0.2500 0.0511 0.3875
Dy 0.2500 0.2793 0.2263
Dy 0.2500 0.8608 0.9937
Dy 0.7500 0.2207 0.7263
Dy 0.7500 0.1392 0.0063
Dy 0.2500 0.7793 0.2737
Dy 0.7500 0.9489 0.6125
Te 0.2500 0.5467 0.3492
Te 0.7500 0.9533 0.8492
Te 0.7500 0.2356 0.3792
Te 0.7500 0.8725 0.4052
Te 0.2500 0.2644 0.8792
Te 0.7500 0.3725 0.0948
Te 0.2500 0.6275 0.9052
Te 0.7500 0.4533 0.6508
Te 0.2500 0.0467 0.1508
Te 0.2500 0.1275 0.5948
Te 0.7500 0.7356 0.1208
Te 0.2500 0.7644 0.6208
Li 0.2500 0.0566 0.8083
Li 0.7500 0.4434 0.3083
Li 0.7500 0.9434 0.1917
Li 0.2500 0.5566 0.6917

***

6.
## LiDy2Te3 (PBE-GGA)

Data for a geometry-optimized LiDy2Te3 structure.

## Properties
The calculation puts the uncorrected formation energy at -1.300 eV/atom. As for the volume: 28.60 Å³ per atom.

Unit cell a=4.2968 b=6.1463 c=7.5025 alpha=114.18 beta=106.64 gamma=90.00
Sites, in units of the cell vectors:
Li 0.5000 0.5000 0.5000
Dy 0.8317 0.8317 0.1634
Dy 0.1683 0.1683 0.8366
Te 0.1594 0.6594 0.8189
Te 0.8406 0.3406 0.1811
Te 0.5000 0.0000 0.5000

***

7.
## LiDy2Te4 (PBE-GGA)

Data for a geometry-optimized LiDy2Te4 structure.

## Properties
The calculation puts the uncorrected formation energy at -1.169 eV/atom. As for the volume: 32.11 Å³ per atom.

Unit cell a=4.2671 b=7.4395 c=8.2897 alpha=116.86 beta=104.91 gamma=90.00
Sites, in units of the cell vectors:
Te 0.3768 0.7156 0.7535
Te 0.1190 0.7912 0.2380
Te 0.8810 0.2088 0.7620
Te 0.6232 0.2844 0.2465
Li 0.0000 0.0000 0.0000
Dy 0.7449 0.7491 0.4898
Dy 0.2551 0.2509 0.5102

***

8.
## Li3DyTh2Te6 (PBE-GGA)

Data for a geometry-optimized Li3DyTh2Te6 structure.

## Properties
The calculation puts the uncorrected formation energy at -1.146 eV/atom. As for the volume: 29.14 Å³ per atom.

Unit cell a=7.4763 b=7.4763 c=7.6408 alpha=99.38 beta=99.38 gamma=120.00
Sites, in units of the cell vectors:
Te 0.4158 0.0884 0.2660
Te 0.9116 0.5842 0.7340
Te 0.2384 0.2384 0.7340
Te 0.5842 0.9116 0.7340
Te 0.0884 0.4158 0.2660
Te 0.7616 0.7616 0.2660
Th 0.6663 0.3337 0.0000
Th 0.3337 0.6663 0.0000
Li 0.8313 0.1687 0.5000
Li 0.5000 0.5000 0.5000
Li 0.1687 0.8313 0.5000
Dy 0.0000 0.0000 0.0000